[1]
Compound: NbCoGePd
Source: OQMD via LeMat-Bulk
Functional: PBE
Structure: relaxed

Lattice parameters (Å, degrees): 4.3750 4.3750 4.3750 60.00 60.00 60.00
Site moments in Bohr magnetons follow the coordinates.
Element x y z (fractional)
Co1 0.7500 0.7500 0.7500  -0.81
Pd1 0.5000 0.5000 0.5000  0.04
Nb1 0.2500 0.2500 0.2500  0.09
Ge1 0.0000 0.0000 0.0000  0.02

* crystal system: cubic
* final energy: -6.866 eV/atom
* total magnetization: 0.60 μB per formula unit
* symmetry: F-43m



[2]
Compound: NbCoGePd
Source: OQMD via LeMat-Bulk
Functional: PBE
Structure: relaxed

Lattice parameters (Å, degrees): 4.3704 4.3704 4.3704 60.00 60.00 60.00
Site moments in Bohr magnetons follow the coordinates.
Element x y z (fractional)
Pd1 0.2500 0.2500 0.2500  -0.03
Ge1 0.0000 0.0000 0.0000  0.00
Co1 0.7500 0.7500 0.7500  0.30
Nb1 0.5000 0.5000 0.5000  -0.10

* crystal system: cubic
* final energy: -6.866 eV/atom
* total magnetization: 0.16 μB per formula unit
* symmetry: F-43m



[3]
Compound: NbCoGePt
Source: OQMD via LeMat-Bulk
Functional: PBE
Structure: relaxed

Lattice parameters (Å, degrees): 4.4058 4.4058 4.4058 60.00 60.00 60.00
Element x y z (fractional)
Ge1 0.0000 0.0000 0.0000
Co1 0.7500 0.7500 0.7500
Pt1 0.2500 0.2500 0.2500
Nb1 0.5000 0.5000 0.5000

* crystal system: cubic
* final energy: -7.060 eV/atom
* energy relative to the lowest polymorph listed for this composition: 100.7 meV per atom
* total magnetization: 0.02 μB per formula unit
* symmetry: F-43m



[4]
Compound: NbCoGePt
Source: OQMD via LeMat-Bulk
Functional: PBE
Structure: relaxed

Lattice parameters (Å, degrees): 4.3922 4.3922 4.3922 60.00 60.00 60.00
Site moments in Bohr magnetons follow the coordinates.
Element x y z (fractional)
Pt1 0.5000 0.5000 0.5000  0.05
Ge1 0.0000 0.0000 0.0000  0.03
Nb1 0.2500 0.2500 0.2500  0.12
Co1 0.7500 0.7500 0.7500  -0.74

* crystal system: cubic
* final energy: -7.161 eV/atom
* energy relative to the lowest polymorph listed for this composition: 0.0 meV per atom
* total magnetization: 0.49 μB per formula unit
* symmetry: F-43m



[5]
Compound: NbCoReGe
Source: OQMD via LeMat-Bulk
Functional: PBE
Structure: relaxed

Lattice parameters (Å, degrees): 4.3536 4.3536 4.3536 60.00 60.00 60.00
Element x y z (fractional)
Re1 0.2500 0.2500 0.2500
Co1 0.7500 0.7500 0.7500
Ge1 0.0000 0.0000 0.0000
Nb1 0.5000 0.5000 0.5000

* crystal system: cubic
* final energy: -8.575 eV/atom
* energy relative to the lowest polymorph listed for this composition: 0.0 meV per atom
* total magnetization: 0.99 μB per formula unit
* symmetry: F-43m



[6]
Compound: ScNbCoGe
Source: OQMD via LeMat-Bulk
Functional: PBE
Structure: relaxed

Lattice parameters (Å, degrees): 4.4801 4.4801 4.4801 60.00 60.00 60.00
Site moments in Bohr magnetons follow the coordinates.
Element x y z (fractional)
Ge1 0.0000 0.0000 0.0000  -0.01
Nb1 0.2500 0.2500 0.2500  1.74
Co1 0.7500 0.7500 0.7500  0.49
Sc1 0.5000 0.5000 0.5000  0.38

* crystal system: cubic
* final energy: -7.041 eV/atom
* energy relative to the lowest polymorph listed for this composition: 0.0 meV per atom
* total magnetization: 2.92 μB per formula unit
* symmetry: F-43m



[7]
Compound: TaNbCo2Ge2
Source: OQMD via LeMat-Bulk
Functional: PBE
Structure: relaxed

Lattice parameters (Å, degrees): 8.0672 4.0332 12.1021 90.00 109.47 90.00
Element x y z (fractional)
Nb1 0.6877 0.5000 0.3751
Ge1 0.4375 0.0000 0.3751
Ge2 0.9374 0.0000 0.3748
Nb2 0.1874 0.5000 0.3751
Ge3 0.5625 0.5000 0.1250
Ta1 0.5623 0.0000 0.6249
Nb3 0.4373 0.5000 0.8748
Nb4 0.0626 0.0000 0.6249
Co1 0.8749 0.5000 0.2499
Co2 0.0000 0.0000 0.0000
Ta2 0.3126 0.0000 0.1251
Ge4 0.0624 0.5000 0.1249
Ta3 0.8125 0.0000 0.1251
Co3 0.6251 0.5000 0.7501
Ge5 0.8122 0.5000 0.6252
Co4 0.1249 0.5000 0.7500
Co5 0.7500 0.0000 0.5001
Ta4 0.9375 0.5000 0.8749
Co6 0.3750 0.5000 0.2500
Ge6 0.3128 0.5000 0.6250
Co7 0.5000 0.0000 0.0000
Co8 0.2501 0.0000 0.5000
Ge7 0.1872 0.0000 0.8751
Ge8 0.6879 0.0000 0.8750

* crystal system: monoclinic
* final energy: -8.071 eV/atom
* total magnetization: 0.00 μB per formula unit
* symmetry: Pm



[8]
Compound: NbCoTcGe
Source: OQMD via LeMat-Bulk
Functional: PBE
Structure: relaxed

Lattice parameters (Å, degrees): 4.3314 4.3314 4.3314 60.00 60.00 60.00
Site moments in Bohr magnetons follow the coordinates.
Element x y z (fractional)
Ge1 0.0000 0.0000 0.0000  0.00
Co1 0.7500 0.7500 0.7500  0.87
Tc1 0.2500 0.2500 0.2500  0.06
Nb1 0.5000 0.5000 0.5000  0.09

* crystal system: cubic
* final energy: -8.225 eV/atom
* energy relative to the lowest polymorph listed for this composition: 0.0 meV per atom
* total magnetization: 0.99 μB per formula unit
* symmetry: F-43m



[9]
Compound: YNbCoGe
Source: OQMD via LeMat-Bulk
Functional: PBE
Structure: relaxed

Lattice parameters (Å, degrees): 4.6297 4.6297 4.6297 60.00 60.00 60.00
Site moments in Bohr magnetons follow the coordinates.
Element x y z (fractional)
Nb1 0.2500 0.2500 0.2500  1.84
Ge1 0.0000 0.0000 0.0000  -0.01
Co1 0.7500 0.7500 0.7500  0.53
Y1 0.5000 0.5000 0.5000  0.29

* crystal system: cubic
* final energy: -6.883 eV/atom
* energy relative to the lowest polymorph listed for this composition: 0.0 meV per atom
* total magnetization: 2.97 μB per formula unit
* symmetry: F-43m



[10]
Compound: YNbCoGe
Source: OQMD via LeMat-Bulk
Functional: PBE
Structure: relaxed

Lattice parameters (Å, degrees): 4.6660 4.6660 4.6660 60.00 60.00 60.00
Element x y z (fractional)
Ge1 0.0000 0.0000 0.0000
Y1 0.2500 0.2500 0.2500
Nb1 0.5000 0.5000 0.5000
Co1 0.7500 0.7500 0.7500

* crystal system: cubic
* final energy: -6.742 eV/atom
* energy relative to the lowest polymorph listed for this composition: 141.2 meV per atom
* total magnetization: 2.92 μB per formula unit
* symmetry: F-43m



[11]
Compound: NbZnCoGe
Source: OQMD via LeMat-Bulk
Functional: PBE
Structure: relaxed

Lattice parameters (Å, degrees): 4.3490 4.3490 4.3490 60.00 60.00 60.00
Element x y z (fractional)
Co1 0.7500 0.7500 0.7500
Ge1 0.0000 0.0000 0.0000
Zn1 0.2500 0.2500 0.2500
Nb1 0.5000 0.5000 0.5000

* crystal system: cubic
* final energy: -5.648 eV/atom
* energy relative to the lowest polymorph listed for this composition: 49.3 meV per atom
* total magnetization: 0.02 μB per formula unit
* symmetry: F-43m



[12]
Compound: NbZnCoGe
Source: OQMD via LeMat-Bulk
Functional: PBE
Structure: relaxed

Lattice parameters (Å, degrees): 4.3480 4.3480 4.3480 60.00 60.00 60.00
Site moments in Bohr magnetons follow the coordinates.
Element x y z (fractional)
Nb1 0.2500 0.2500 0.2500  0.99
Ge1 0.0000 0.0000 0.0000  0.03
Zn1 0.5000 0.5000 0.5000  0.03
Co1 0.7500 0.7500 0.7500  0.93

* crystal system: cubic
* final energy: -5.697 eV/atom
* energy relative to the lowest polymorph listed for this composition: 0.0 meV per atom
* total magnetization: 2.06 μB per formula unit
* symmetry: F-43m



[13]
Compound: ZrNbCoGe
Source: OQMD via LeMat-Bulk
Functional: PBE
Structure: relaxed

Lattice parameters (Å, degrees): 4.5099 4.5099 4.5099 60.00 60.00 60.00
Site moments in Bohr magnetons follow the coordinates.
Element x y z (fractional)
Co1 0.7500 0.7500 0.7500  0.58
Zr1 0.5000 0.5000 0.5000  0.20
Nb1 0.2500 0.2500 0.2500  1.05
Ge1 0.0000 0.0000 0.0000  -0.01

* crystal system: cubic
* final energy: -7.540 eV/atom
* energy relative to the lowest polymorph listed for this composition: 0.0 meV per atom
* total magnetization: 2.00 μB per formula unit
* symmetry: F-43m



[14]
Compound: Nd2Co3Ge5
Source: OQMD via LeMat-Bulk
Functional: PBE
Structure: relaxed

Lattice parameters (Å, degrees): 5.8486 8.2308 8.2297 93.12 110.01 110.01
Site moments in Bohr magnetons follow the coordinates.
Element x y z (fractional)
Ge1 0.8324 0.7407 0.9307  0.00
Co1 0.2503 0.9969 0.0033  0.13
Co2 0.8835 0.2604 0.5377  0.01
Ge2 0.2499 0.7801 0.2204  0.00
Ge3 0.2496 0.2301 0.7702  0.00
Nd1 0.7339 0.8706 0.5968  0.00
Ge4 0.1670 0.2591 0.0689  0.00
Ge5 0.2506 0.4939 0.5065  0.00
Co3 0.6166 0.4628 0.7396  0.01
Ge6 0.7509 0.2202 0.7799  0.00
Co4 0.3835 0.5374 0.2605  0.01
Ge7 0.7506 0.7702 0.2300  0.00
Ge8 0.7497 0.5064 0.4937  0.00
Nd2 0.7658 0.4029 0.1294  0.00
Ge9 0.6669 0.0694 0.2584  0.00
Ge10 0.3325 0.9303 0.7413  0.00
Co5 0.7499 0.0033 0.9969  0.13
Co6 0.1165 0.7397 0.4625  0.01
Nd3 0.2660 0.1291 0.4029  0.00
Nd4 0.2341 0.5968 0.8703  0.00

* crystal system: triclinic
* final energy: -5.974 eV/atom
* total magnetization: 0.05 μB per formula unit
* symmetry: P-1



[15]
Compound: NdCoGe2
Source: OQMD via LeMat-Bulk
Functional: PBE
Structure: relaxed

Lattice parameters (Å, degrees): 4.2204 4.2452 8.5949 75.70 90.00 90.00
Element x y z (fractional)
Co1 0.7500 0.3174 0.3652
Ge1 0.7500 0.7500 0.5000
Ge2 0.7500 0.4546 0.0908
Nd1 0.7500 0.1076 0.7848
Co2 0.2500 0.6826 0.6348
Ge3 0.2500 0.2500 0.5000
Ge4 0.2500 0.5454 0.9092
Nd2 0.2500 0.8924 0.2152

* crystal system: orthorhombic
* final energy: -5.942 eV/atom
* total magnetization: 0.00 μB per formula unit
* symmetry: Cmcm



[16]
Compound: Nd2Co3Ge5
Source: OQMD via LeMat-Bulk
Functional: PBE
Structure: relaxed

Lattice parameters (Å, degrees): 5.8462 8.2073 8.2073 93.16 110.07 110.07
Site moments in Bohr magnetons follow the coordinates.
Element x y z (fractional)
Ge1 0.2500 0.2300 0.7700  0.00
Ge2 0.1671 0.2587 0.0691  -0.01
Co1 0.6164 0.4625 0.7396  0.06
Nd1 0.2657 0.1293 0.4028  0.00
Ge3 0.2500 0.4937 0.5063  0.00
Ge4 0.3329 0.9309 0.7413  -0.01
Ge5 0.7500 0.5063 0.4937  0.00
Nd2 0.2343 0.5972 0.8707  0.00
Nd3 0.7343 0.8707 0.5972  0.00
Co2 0.8836 0.2604 0.5375  0.05
Ge6 0.7500 0.7700 0.2300  0.00
Co3 0.2500 0.9968 0.0032  0.57
Co4 0.1164 0.7396 0.4625  0.05
Ge7 0.8329 0.7413 0.9309  -0.01
Ge8 0.2500 0.7797 0.2203  0.00
Ge9 0.7500 0.2203 0.7797  0.00
Co5 0.7500 0.0032 0.9968  0.57
Ge10 0.6671 0.0691 0.2587  -0.01
Co6 0.3836 0.5375 0.2604  0.06
Nd4 0.7657 0.4028 0.1293  0.00

* crystal system: monoclinic
* final energy: -5.974 eV/atom
* total magnetization: 0.05 μB per formula unit
* symmetry: C2/c



[17]
Compound: NdCo2Ge2
Source: OQMD via LeMat-Bulk
Functional: PBE
Structure: relaxed

Lattice parameters (Å, degrees): 4.0233 4.0233 5.8620 110.07 110.07 90.00
Element x y z (fractional)
Ge1 0.6315 0.6315 0.2631
Nd1 0.0000 0.0000 0.0000
Ge2 0.3685 0.3685 0.7369
Co1 0.7500 0.2500 0.5000
Co2 0.2500 0.7500 0.5000

* crystal system: tetragonal
* final energy: -6.235 eV/atom
* total magnetization: 0.00 μB per formula unit
* symmetry: I4/mmm



[18]
Compound: NdCoGe2Pd
Source: OQMD via LeMat-Bulk
Functional: PBE
Structure: relaxed

Lattice parameters (Å, degrees): 5.9522 5.9522 5.9522 138.78 138.78 59.71
Site moments in Bohr magnetons follow the coordinates.
Element x y z (fractional)
Pd1 0.5000 0.5000 0.0000  0.12
Nd1 0.2500 0.7500 0.5000  0.04
Co1 0.0000 0.0000 0.0000  1.13
Ge1 0.8743 0.3743 0.5000  0.01
Ge2 0.6257 0.1257 0.5000  0.00

* crystal system: tetragonal
* final energy: -5.930 eV/atom
* total magnetization: 1.32 μB per formula unit
* symmetry: I-4m2



[19]
Compound: Nd2CoGe4Pd
Source: OQMD via LeMat-Bulk
Functional: PBE
Structure: relaxed

Lattice parameters (Å, degrees): 4.3319 8.7400 8.7400 28.39 90.00 90.00
Element x y z (fractional)
Ge1 0.5000 0.7418 0.7418
Pd1 0.5000 0.3209 0.3209
Nd1 0.0000 0.8934 0.8934
Ge2 0.5000 0.4649 0.4649
Nd2 0.5000 0.1078 0.1078
Ge3 0.0000 0.5456 0.5456
Ge4 0.0000 0.2432 0.2432
Co1 0.0000 0.6824 0.6824

* crystal system: orthorhombic
* final energy: -5.764 eV/atom
* total magnetization: 0.01 μB per formula unit
* symmetry: Amm2



[20]
Compound: Nd2Co2SiGe
Source: OQMD via LeMat-Bulk
Functional: PBE
Structure: relaxed

Lattice parameters (Å, degrees): 4.0899 4.0899 7.0064 90.00 90.00 90.00
Site moments in Bohr magnetons follow the coordinates.
Element x y z (fractional)
Si1 0.5000 0.5000 0.1710  -0.01
Nd1 0.0000 0.0000 0.3118  -0.03
Ge1 0.0000 0.0000 0.8190  -0.01
Nd2 0.5000 0.5000 0.6870  -0.02
Co1 0.5000 0.0000 0.0056  0.41
Co2 0.0000 0.5000 0.0056  0.41

* crystal system: tetragonal
* final energy: -6.273 eV/atom
* total magnetization: 0.65 μB per formula unit
* symmetry: P4mm